First-principles (PBEsol) data for crystalline Sn3BF9 at its relaxed geometry, as listed in Alexandria.

## Properties
SG: P2_1/c, No. 14
Uncorrected formation energy: -2480 meV/atom

POSCAR file:
```
Sn3BF9
1.0
7.421 0.000 0.000
0.000 9.953 0.000
0.000 -1.302 10.794
F Sn B
36 12 4
Cartesian
6.823 2.257 9.040
2.870 0.352 10.360
2.920 3.306 1.843
6.631 5.996 3.554
5.554 1.900 0.224
2.896 7.823 2.517
4.390 8.941 6.441
5.333 5.287 6.789
2.087 3.364 4.006
0.597 6.394 1.755
1.837 0.471 1.923
6.580 7.648 5.832
3.113 5.743 7.152
6.741 9.592 1.044
0.790 2.655 7.240
1.623 2.713 9.403
0.680 -0.941 9.751
4.551 8.299 0.435
1.843 7.402 5.174
4.525 0.828 8.277
5.547 8.831 3.474
0.815 7.172 7.914
6.606 1.479 2.880
7.193 4.264 2.146
0.228 4.387 8.649
1.867 6.751 10.571
3.483 5.038 3.252
5.577 1.250 5.621
0.841 1.003 4.963
4.308 2.908 3.643
5.798 5.938 1.392
5.584 8.180 8.871
4.500 5.345 8.951
3.031 -0.290 4.354
1.873 -0.180 7.320
3.938 3.613 7.543
6.290 -0.313 7.354
4.290 1.984 10.052
2.579 8.313 8.837
4.473 7.477 4.755
1.131 8.964 3.440
6.841 2.635 4.655
0.763 1.825 0.642
6.658 6.826 10.152
4.841 0.338 1.957
0.580 6.016 6.139
3.130 6.667 0.742
2.948 1.174 6.039
4.225 4.979 7.606
3.195 3.672 3.188
6.906 5.629 2.209
0.515 3.022 8.585
```

=====

First-principles (PBEsol) data for crystalline TaBF3 at its relaxed geometry, as listed in Alexandria.

## Properties
SG: Pm-3m, No. 221
Uncorrected formation energy: -745 meV/atom

POSCAR file:
```
TaBF3
1.0
4.109 0.000 0.000
0.000 4.109 0.000
0.000 0.000 4.109
F Ta B
3 1 1
Cartesian
0.000 2.054 0.000
0.000 0.000 2.054
2.054 0.000 0.000
0.000 0.000 0.000
2.054 2.054 2.054
```

=====

First-principles (PBEsol) data for crystalline TaB3F at its relaxed geometry, as listed in Alexandria.

## Properties
SG: Pm-3m, No. 221
Uncorrected formation energy: 1787 meV/atom

POSCAR file:
```
TaB3F
1.0
-0.431 1.897 -3.883
1.514 -3.589 -1.921
-4.048 -1.544 -0.305
B Ta F
3 1 1
Cartesian
0.757 -1.795 -0.961
-0.216 0.948 -1.942
-2.024 -0.772 -0.152
0.000 0.000 0.000
-1.483 -1.618 -3.055
```

=====

First-principles (PBEsol) data for crystalline Tc2BF at its relaxed geometry, as listed in Alexandria.

## Properties
SG: Fm-3m, No. 225
Uncorrected formation energy: 161 meV/atom

POSCAR file:
```
Tc2BF
1.0
3.888 0.000 0.000
1.944 3.367 0.000
1.944 1.122 3.175
F B Tc
1 1 2
Cartesian
3.888 2.245 1.587
0.000 0.000 0.000
1.944 1.122 0.794
5.832 3.367 2.381
```

=====

First-principles (PBEsol) data for crystalline TiB3F at its relaxed geometry, as listed in Alexandria.

## Properties
SG: Pm-3m, No. 221
Uncorrected formation energy: 1871 meV/atom

POSCAR file:
```
TiB3F
1.0
-1.859 2.170 -3.190
2.614 -1.895 -2.813
-2.837 -3.168 -0.502
B Ti F
3 1 1
Cartesian
-1.418 -1.584 -0.251
-0.929 1.085 -1.595
1.307 -0.947 -1.406
0.000 0.000 0.000
-1.041 -1.446 -3.252
```

=====

First-principles (PBEsol) data for crystalline TiBF3 at its relaxed geometry, as listed in Alexandria.

## Properties
SG: Pm-3m, No. 221
Uncorrected formation energy: -680 meV/atom

POSCAR file:
```
TiBF3
1.0
3.835 0.000 0.000
0.000 3.835 0.000
0.000 0.000 3.835
F Ti B
3 1 1
Cartesian
1.917 0.000 0.000
0.000 0.000 1.917
0.000 1.917 0.000
1.917 1.917 1.917
0.000 0.000 0.000
```

=====

First-principles (PBEsol) data for crystalline BW3F at its relaxed geometry, as listed in Alexandria.

## Properties
SG: Pm-3m, No. 221
Uncorrected formation energy: 956 meV/atom

POSCAR file:
```
BW3F
1.0
4.167 0.000 0.000
0.000 4.167 0.000
0.000 0.000 4.167
W F B
3 1 1
Cartesian
0.000 0.000 2.084
2.084 0.000 0.000
0.000 2.084 0.000
2.084 2.084 2.084
0.000 0.000 0.000
```

=====

First-principles (PBEsol) data for crystalline YB3F at its relaxed geometry, as listed in Alexandria.

## Properties
SG: Pm-3m, No. 221
Uncorrected formation energy: 982 meV/atom

POSCAR file:
```
YB3F
1.0
3.931 0.000 0.000
0.000 3.931 0.000
0.000 0.000 3.931
F Y B
1 1 3
Cartesian
0.000 0.000 0.000
1.966 1.966 1.966
0.000 0.000 1.966
0.000 1.966 0.000
1.966 0.000 0.000
```

=====

First-principles (PBEsol) data for crystalline Zn3BF at its relaxed geometry, as listed in Alexandria.

## Properties
SG: Pm-3m, No. 221
Uncorrected formation energy: -398 meV/atom

POSCAR file:
```
Zn3BF
1.0
4.071 0.000 0.000
0.000 4.071 0.000
0.000 0.000 4.071
B Zn F
1 3 1
Cartesian
0.000 0.000 0.000
0.000 0.000 2.035
0.000 2.035 0.000
2.035 0.000 0.000
2.035 2.035 2.035
```

=====

First-principles (PBEsol) data for crystalline ZnB2F at its relaxed geometry, as listed in Alexandria.

## Properties
SG: I4_1/amd, No. 141
Uncorrected formation energy: 143 meV/atom

POSCAR file:
```
ZnB2F
1.0
-1.296 -2.190 1.774
1.806 0.854 2.373
-7.250 7.211 0.895
Zn B F
2 4 2
Cartesian
0.000 0.000 0.000
-2.594 3.699 2.671
-1.945 0.754 2.223
-4.922 5.455 1.783
-5.570 4.360 2.670
-1.042 1.181 3.409
-4.145 2.176 2.371
0.255 -0.668 2.074
```

=====

First-principles (PBEsol) data for crystalline Fe2B7 at its relaxed geometry, as listed in Alexandria.

## Properties
SG: Pbam, No. 55
Calculated formation energy: -261 meV/atom

POSCAR file:
```
Fe2B7
1.0
-0.419 2.567 -1.192
-6.672 -4.323 -6.965
-12.728 2.782 10.465
Fe B
16 56
Cartesian
-2.750 -0.440 0.020
-12.952 -1.091 -1.230
-4.688 -1.250 -4.479
-9.352 -1.888 -0.778
-12.711 -1.467 1.309
-6.151 -0.127 -1.547
-10.222 -2.128 -4.425
-10.048 0.346 4.277
-13.668 1.153 3.854
-6.867 2.117 3.537
-15.131 2.276 6.786
-9.597 3.154 6.732
-6.689 -0.075 2.190
-12.842 1.453 7.642
-16.649 -1.102 3.480
-6.557 -2.994 -4.143
-11.303 -2.190 -0.744
-11.082 -0.461 -0.533
-16.919 -0.314 5.271
-8.097 0.649 4.243
-5.825 0.846 0.434
-11.279 0.239 1.044
-2.481 -1.227 -1.771
-13.298 2.060 5.676
-5.373 -2.026 -2.474
-6.465 -0.853 0.436
-15.373 0.508 3.062
-5.041 0.793 3.479
-13.994 0.180 1.873
-14.027 0.484 5.973
-11.739 1.749 4.458
-9.610 0.110 0.180
-8.737 1.487 2.840
-7.439 -1.525 -0.668
-11.961 -0.017 4.168
-17.942 0.608 4.182
-8.249 -0.947 0.859
-11.601 2.395 9.236
-8.080 -0.723 -2.151
-8.138 -1.540 -3.890
-4.446 0.518 -0.755
-8.981 1.247 5.842
-8.540 0.787 1.263
-11.681 2.566 6.197
-3.687 -1.866 -2.722
-2.860 0.365 1.792
-8.464 -3.306 -4.145
-10.209 0.916 2.127
-6.521 -1.034 -3.369
-1.877 0.418 -1.875
-14.360 -0.598 0.324
-5.459 1.624 1.983
-10.936 1.765 7.645
-14.359 -2.334 0.021
-12.178 -2.900 -1.966
-15.713 0.324 6.221
-15.850 -0.243 1.613
-7.221 1.359 5.465
-18.530 -0.156 2.743
-4.300 -1.235 -1.148
-7.799 -3.937 -5.737
-6.927 -2.456 -6.289
-9.576 -1.251 -2.763
-11.151 -0.594 2.640
-10.419 -2.788 -2.343
-15.100 -0.306 4.647
-1.289 1.182 -0.436
-12.892 3.482 8.596
-12.935 -0.689 3.063
-16.540 -1.907 1.707
-10.243 2.277 5.070
-3.969 1.269 0.694
```

=====

First-principles (PBEsol) data for crystalline FeB at its relaxed geometry, as listed in Alexandria.

## Properties
SG: Cmcm, No. 63
Calculated formation energy: -456 meV/atom

POSCAR file:
```
FeB
1.0
-2.167 -0.927 -1.561
-0.960 -1.604 2.286
-0.956 3.311 1.922
B Fe
2 2
Cartesian
-1.987 2.037 1.549
-2.097 -1.257 1.098
-3.269 0.379 1.754
-0.814 0.400 0.893
```

=====

First-principles (PBEsol) data for crystalline Fe2B at its relaxed geometry, as listed in Alexandria.

## Properties
SG: I4/mcm, No. 140
Calculated formation energy: -373 meV/atom

POSCAR file:
```
Fe2B
1.0
4.081 -0.006 0.000
-1.970 3.574 0.000
-1.056 -1.784 3.516
Fe B
4 2
Cartesian
2.568 0.889 0.596
0.513 -0.304 1.758
-1.513 0.895 2.919
0.542 2.088 1.758
0.528 0.892 0.000
1.583 2.676 0.000
```

=====

First-principles (PBEsol) data for crystalline FeB at its relaxed geometry, as listed in Alexandria.

## Properties
SG: Pnma, No. 62
Calculated formation energy: -458 meV/atom

POSCAR file:
```
FeB
1.0
2.933 0.000 0.000
0.000 3.951 0.000
0.000 0.000 5.301
Fe B
4 4
Cartesian
2.200 2.456 1.708
0.733 1.495 3.593
2.200 3.470 4.358
0.733 0.481 0.943
2.200 0.478 2.465
0.733 2.454 0.186
2.200 1.497 5.115
0.733 3.472 2.836
```

=====

First-principles (PBEsol) data for crystalline FeB at its relaxed geometry, as listed in Alexandria.

## Properties
SG: I4_1/amd, No. 141
Calculated formation energy: -457 meV/atom

POSCAR file:
```
FeB
1.0
-1.584 2.387 0.405
-2.003 -1.020 -1.821
-1.684 -3.949 6.361
B Fe
4 4
Cartesian
-3.857 -3.193 3.732
-1.117 -1.050 1.817
-1.622 -1.094 0.099
-4.153 -1.533 3.128
-3.891 -1.718 5.241
-1.169 0.839 0.816
-2.116 -1.988 3.440
-3.154 -0.595 1.504
```

=====

First-principles (PBEsol) data for crystalline GdFeB4 at its relaxed geometry, as listed in Alexandria.

## Properties
SG: Pbam, No. 55
Calculated formation energy: -656 meV/atom

POSCAR file:
```
GdFeB4
1.0
3.341 0.000 0.000
0.000 5.883 0.000
0.000 0.000 11.387
Gd B Fe
4 16 4
Cartesian
1.671 3.685 7.406
1.671 0.743 9.675
1.671 2.198 3.981
1.671 5.139 1.712
0.000 3.595 0.521
0.000 2.799 9.227
0.000 2.118 6.062
0.000 5.229 6.214
0.000 1.649 7.780
0.000 1.292 2.086
0.000 5.059 11.019
0.000 5.740 7.854
0.000 0.823 0.369
0.000 0.142 3.534
0.000 0.654 5.173
0.000 3.084 2.160
0.000 3.765 5.325
0.000 2.288 10.867
0.000 4.234 3.608
0.000 4.590 9.301
1.671 2.167 0.998
1.671 0.774 6.692
1.671 5.108 4.696
1.671 3.716 10.389
```

=====

First-principles (PBEsol) data for crystalline FeBH3 at its relaxed geometry, as listed in Alexandria.

## Properties
SG: Pm-3m, No. 221
Relative energy among the computed polymorphs: 0 meV per atom

POSCAR file:
```
FeBH3
1.0
-2.103 -0.831 -1.925
2.005 -0.001 -2.190
0.612 -2.851 0.562
B H Fe
1 3 1
Cartesian
0.000 0.000 0.000
1.003 -0.001 -1.095
-1.052 -0.415 -0.963
0.306 -1.426 0.281
0.257 -1.841 -1.777
```

=====

First-principles (PBEsol) data for crystalline FeBH3 at its relaxed geometry, as listed in Alexandria.

## Properties
SG: Pm-3m, No. 221
Relative energy among the computed polymorphs: 123 meV per atom

POSCAR file:
```
FeBH3
1.0
3.029 0.000 0.000
0.000 3.029 0.000
0.000 0.000 3.029
Fe H B
1 3 1
Cartesian
0.000 0.000 0.000
0.000 1.515 0.000
0.000 0.000 1.515
1.515 0.000 0.000
1.515 1.515 1.515
```

=====

First-principles (PBEsol) data for crystalline SrFeBP2H2O10 at its relaxed geometry, as listed in Alexandria.

## Properties
SG: P-1, No. 2
Calculated total energy: -7.308 eV per atom

POSCAR file:
```
SrFeBP2H2O10
1.0
-6.292 0.060 -2.036
3.342 -2.036 -5.354
-0.272 -6.592 6.422
O P Sr Fe B H
20 4 2 2 2 4
Cartesian
-2.133 -0.848 -1.654
-1.089 -7.720 0.687
0.420 -1.325 -1.089
-3.406 -4.922 -0.514
-3.150 -6.647 -2.191
-4.319 -5.821 2.588
-0.072 -1.921 1.223
1.034 -6.323 0.654
-4.984 -3.773 1.304
-1.988 -3.331 -2.096
1.762 -4.795 -2.272
-0.162 -6.674 2.835
-4.256 -2.244 -1.621
-3.643 -7.243 0.122
-2.306 -2.859 0.596
-0.916 -5.709 -1.564
-1.234 -5.236 1.129
-3.060 -1.893 -3.802
0.184 -3.645 -0.453
1.096 -2.747 -3.555
-0.380 -6.532 1.310
-5.011 -4.440 2.664
1.789 -4.127 -3.632
-2.842 -2.035 -2.277
-2.104 -5.170 3.629
-1.118 -3.397 -4.596
1.671 -1.018 -2.677
-1.611 -4.284 -0.484
-3.839 -6.269 -0.934
0.617 -2.298 -0.033
0.767 -4.076 -1.176
-3.990 -4.492 0.209
-2.660 -7.411 0.332
-0.562 -1.157 -1.299
```